# 1
LaPm3N4: relaxed, PBE-GGA.

The structure in POSCAR format:
```
LaPm3N4
1.0
5.1606 0.0000 0.0000
0.0000 5.1606 0.0000
0.0000 0.0000 5.1606
La Pm N
1 3 4
Direct
0.0000 0.0000 0.0000 La
0.0000 0.5000 0.5000 Pm
0.5000 0.0000 0.5000 Pm
0.5000 0.5000 0.0000 Pm
0.0000 0.0000 0.5000 N
0.0000 0.5000 0.0000 N
0.5000 0.0000 0.0000 N
0.5000 0.5000 0.5000 N
```

Symmetry: Pm-3m, No. 221
Magnetization (μB/f.u.): 0.00
Excess energy over the best structure of this formula in the dataset (eV/atom): 0.005
ρ (g/cm3): 7.61
Formation energy from raw total energies (kcal/mol of atoms): -32.1

***

# 2
LaPmN: relaxed, PBE-GGA.

The structure in POSCAR format:
```
LaPmN
1.0
-2.4951 2.4951 4.0024
2.4951 -2.4951 4.0024
2.4951 2.4951 -4.0024
La Pm N
1 1 1
Direct
0.0000 0.0000 0.0000 La
0.5200 0.5200 0.0000 Pm
0.2587 0.2587 0.0000 N
```

Symmetry: I4mm, No. 107
Magnetization (μB/f.u.): 0.00
Excess energy over the best structure of this formula in the dataset (eV/atom): 0.979
ρ (g/cm3): 4.96
Formation energy from raw total energies (kcal/mol of atoms): 2.2

***

# 3
LaPm3N3: relaxed, PBE-GGA.

The structure in POSCAR format:
```
LaPm3N3
1.0
5.1680 0.0000 0.0000
0.0000 5.1680 0.0000
0.0000 0.0000 5.1680
La Pm N
1 3 3
Direct
0.0000 0.0000 0.0000 La
0.0000 0.5000 0.5000 Pm
0.5000 0.0000 0.5000 Pm
0.5000 0.5000 0.0000 Pm
0.0000 0.0000 0.5000 N
0.0000 0.5000 0.0000 N
0.5000 0.0000 0.0000 N
```

Symmetry: Pm-3m, No. 221
Magnetization (μB/f.u.): 0.00
Excess energy over the best structure of this formula in the dataset (eV/atom): 0.000
ρ (g/cm3): 7.41
Formation energy from raw total energies (kcal/mol of atoms): -26.2

***

# 4
LaPmPrN3: relaxed, PBE-GGA.

The structure in POSCAR format:
```
LaPmPrN3
1.0
6.3205 0.0000 0.0000
0.0000 3.6379 0.0000
-1.8343 0.0000 9.3069
La Pm Pr N
2 2 2 6
Direct
0.1596 0.2500 0.1993 La
0.8404 0.7500 0.8007 La
0.3443 0.2500 0.8622 Pm
0.6557 0.7500 0.1378 Pm
0.2709 0.7500 0.5459 Pr
0.7291 0.2500 0.4541 Pr
0.0280 0.2500 0.6780 N
0.2537 0.7500 0.9954 N
0.4716 0.7500 0.3471 N
0.5284 0.2500 0.6529 N
0.7463 0.2500 0.0046 N
0.9720 0.7500 0.3220 N
```

Symmetry: P2_1/m, No. 11
Magnetization (μB/f.u.): 0.00
ρ (g/cm3): 7.24
Formation energy from raw total energies (kcal/mol of atoms): -28.0

***

# 5
LaPm2PrN4: relaxed, PBE-GGA.

The structure in POSCAR format:
```
LaPm2PrN4
1.0
6.3509 0.0000 0.0000
0.0000 3.6671 0.0000
-2.1130 0.0000 5.9941
La Pm Pr N
1 2 1 4
Direct
0.0000 0.0000 0.0000 La
0.0000 0.5000 0.5000 Pm
0.5000 0.0000 0.5000 Pm
0.5000 0.5000 0.0000 Pr
0.2489 0.0000 0.7449 N
0.2528 0.5000 0.2560 N
0.7472 0.5000 0.7440 N
0.7511 0.0000 0.2551 N
```

Symmetry: P2/m, No. 10
Magnetization (μB/f.u.): 0.00
ρ (g/cm3): 7.44
Formation energy from raw total energies (kcal/mol of atoms): -31.4

***

# 6
La3Pm2PuN6: relaxed, PBE-GGA.

The structure in POSCAR format:
```
La3Pm2PuN6
1.0
3.1502 -5.4424 0.0000
3.1502 5.4424 0.0000
-2.1018 0.0000 5.9806
La Pm Pu N
3 2 1 6
Direct
0.0000 0.0000 0.0000 La
0.3339 0.6661 0.0000 La
0.6661 0.3339 0.0000 La
0.1663 0.8337 0.5000 Pm
0.8337 0.1663 0.5000 Pm
0.5000 0.5000 0.5000 Pu
0.1148 0.4243 0.2727 N
0.2635 0.2635 0.7362 N
0.4243 0.1148 0.2727 N
0.5757 0.8852 0.7273 N
0.7365 0.7365 0.2638 N
0.8852 0.5757 0.7273 N
```

Symmetry: C2/m, No. 12
Magnetization (μB/f.u.): 4.12
ρ (g/cm3): 8.38
Formation energy from raw total energies (kcal/mol of atoms): -30.9